Density functional theory data (GGA+U) for crystalline VAsNF2 at its relaxed geometry.

Structure (extended XYZ):
```
5
Lattice="-3.017 -2.484 -0.575 1.040 -0.386 -3.791 2.432 -3.184 0.991" Properties=species:S:1:pos:R:3 pbc="T T T"
F -1.509 -1.242 -0.287
F 0.520 -0.193 -1.896
As 0.227 -3.027 -1.687
N 1.216 -1.592 0.496
V 0.000 0.000 0.000
```

## Properties
Magnetic moment ... 2.9 Bohr magnetons per cell
E ... -5.483 eV per atom
Crystal system ... tetragonal